DFT (PBE-GGA) results for an optimized crystal structure of InSiBr2.

Structure (CIF):
```
data_InSiBr2
_cell_length_a 5.285
_cell_length_b 5.285
_cell_length_c 5.285
_cell_angle_alpha 60.00
_cell_angle_beta 60.00
_cell_angle_gamma 60.00
_symmetry_space_group_name_H-M 'P 1'
_symmetry_Int_Tables_number 1
_symmetry_space_group_name_Hall 'P 1'
loop_
_atom_site_label
_atom_site_type_symbol
_atom_site_fract_x
_atom_site_fract_y
_atom_site_fract_z
_atom_site_occupancy
Br1 Br 0.250 0.250 0.250 1
Br2 Br 0.750 0.750 0.750 1
In1 In 0.500 0.500 0.500 1
Si1 Si 0.000 0.000 0.000 1
```

- Raw formation energy: 173 meV per atom
- Space-group type: Fm-3m (225)



DFT (PBE-GGA) results for an optimized crystal structure of InSiBr2.

Structure (CIF):
```
data_InSiBr2
_cell_length_a 3.531
_cell_length_b 3.531
_cell_length_c 8.851
_cell_angle_alpha 90.00
_cell_angle_beta 90.00
_cell_angle_gamma 90.00
_symmetry_space_group_name_H-M 'P 1'
_symmetry_Int_Tables_number 1
_symmetry_space_group_name_Hall 'P 1'
loop_
_atom_site_label
_atom_site_type_symbol
_atom_site_fract_x
_atom_site_fract_y
_atom_site_fract_z
_atom_site_occupancy
Br1 Br 0.500 0.500 0.326 1
Br2 Br 0.000 0.000 0.913 1
In1 In 0.000 0.000 0.523 1
Si1 Si 0.500 0.500 0.738 1
```

- Raw formation energy: -17 meV per atom
- Space-group type: P4mm (99)



DFT (PBE-GGA) results for an optimized crystal structure of Sm6InSi2Br3.

Structure (CIF):
```
data_Sm6InSi2Br3
_cell_length_a 4.206
_cell_length_b 8.872
_cell_length_c 9.768
_cell_angle_alpha 103.16
_cell_angle_beta 102.43
_cell_angle_gamma 90.00
_symmetry_space_group_name_H-M 'P 1'
_symmetry_Int_Tables_number 1
_symmetry_space_group_name_Hall 'P 1'
loop_
_atom_site_label
_atom_site_type_symbol
_atom_site_fract_x
_atom_site_fract_y
_atom_site_fract_z
_atom_site_occupancy
Sm1 Sm 0.987 0.743 0.973 1
Sm2 Sm 0.335 0.879 0.670 1
Sm3 Sm 0.013 0.257 0.027 1
Sm4 Sm 0.323 0.432 0.646 1
Sm5 Sm 0.665 0.121 0.330 1
Sm6 Sm 0.677 0.568 0.354 1
Si1 Si 0.832 0.658 0.664 1
Si2 Si 0.168 0.342 0.336 1
In1 In 0.500 0.000 0.000 1
Br1 Br 0.831 0.163 0.663 1
Br2 Br 0.500 0.500 0.000 1
Br3 Br 0.169 0.837 0.337 1
```

- Raw formation energy: -940 meV per atom
- Space-group type: C2/m (12)



DFT (PBE-GGA) results for an optimized crystal structure of VIn2SiBr.

Structure (CIF):
```
data_VIn2SiBr
_cell_length_a 5.408
_cell_length_b 4.567
_cell_length_c 5.408
_cell_angle_alpha 90.00
_cell_angle_beta 90.00
_cell_angle_gamma 90.00
_symmetry_space_group_name_H-M 'P 1'
_symmetry_Int_Tables_number 1
_symmetry_space_group_name_Hall 'P 1'
loop_
_atom_site_label
_atom_site_type_symbol
_atom_site_fract_x
_atom_site_fract_y
_atom_site_fract_z
_atom_site_occupancy
Si1 Si 0.500 0.500 0.500 1
In1 In 0.500 0.000 0.000 1
In2 In 0.000 0.000 0.500 1
V1 V 0.000 0.000 0.000 1
Br1 Br 0.000 0.500 0.000 1
```

- Raw formation energy: 725 meV per atom
- Space-group type: P4/mmm (123)



Number 1: calculated total energy -10.81 eV/cell. Number 2: calculated total energy -11.57 eV/cell. Number 3: calculated total energy -58.20 eV/cell. Number 4: calculated total energy -18.07 eV/cell.